{
  "formula": "TbPaTe2",
  "functional": "PBE",
  "state": "relaxed",
  "cell": [[8.433, 0.000, 0.000], [0.000, 3.961, 0.000], [0.000, 0.000, 6.960]],
  "species": ["Tb", "Tb", "Pa", "Pa", "Te", "Te", "Te", "Te"],
  "fractional_positions": [[0.000, 0.000, 0.000], [0.500, 0.000, 0.000], [0.000, 0.500, 0.500], [0.500, 0.500, 0.500], [0.250, 0.000, 0.332], [0.250, 0.500, 0.832], [0.750, 0.000, 0.668], [0.750, 0.500, 0.168]],
  "dft_energy_ev_per_cell": -48.2,
  "relative_energy_mev_per_atom": 0,
  "volume_a3_per_fu": 116.23
}